Density functional theory data (PBE with a Hubbard U) for a relaxed structure of BaFeI2O.

Unit cell a=5.9823 b=5.9823 c=3.9430 alpha=90.00 beta=90.00 gamma=90.00
Last column: nearest neighbours and their distance in Å.
Space group P4/mmm (No. 123)
Unique sites:
Ba1 0.0000 0.0000 0.0000 [1 per cell]  8 I 3.58, 2 Ba 3.94
Fe1 0.5000 0.5000 0.5000 [1 per cell]  2 O 1.97
I1 0.0000 0.5000 0.5000 [2 per cell]  2 Fe 2.99
O1 0.5000 0.5000 0.0000 [1 per cell]  2 Fe 1.97

## Properties
ρ, Mg/m³: 5.45
Crystal system: tetragonal
Relative energy among the computed polymorphs, kJ/mol of atoms: 0.0
Total DFT energy (no corrections), eV per cell: -21.46